TbHgClO2: optimized geometry, PBE.

## Properties
For the density of states at the Fermi level, the calculation gives 0.00 states/eV/atom. The formation energy (no corrections) is -1.648 eV/atom. Its total magnetization is 0.00 μB per formula unit.

Unit cell a=4.1663 b=9.7626 c=6.6241 alpha=65.74 beta=90.00 gamma=90.00
Atoms (fractional coordinates):
Hg: 0.7500 0.5613 0.6525
Hg: 0.2500 0.4387 0.3475
O: 0.2500 0.8661 0.5190
O: 0.7500 0.9734 0.6538
O: 0.2500 0.0266 0.3462
O: 0.7500 0.1339 0.4810
Cl: 0.2500 0.8288 0.0870
Cl: 0.7500 0.1712 0.9130
Tb: 0.7500 0.9404 0.3264
Tb: 0.2500 0.0596 0.6736